1.
Here is a relaxed AlCo4Cu3O12 crystal from Alexandria. Energies are from GGA+U.

Cell: 7.087 7.087 7.087 Å, 90.00 90.00 90.00°
Space group Im-3 (No. 204)
One atom of each set of equivalent atoms:
Al 0.000 0.000 0.000
Co 0.250 0.250 0.250
Cu 0.000 0.000 0.500
O 0.000 0.296 0.168

Results
* magnetic moment: 0.0 μB/f.u.
* VASP energy: -5.60 eV/atom


2.
Here is a relaxed AlCo2CuO crystal from Alexandria. Energies are from GGA+U.

Cell: 4.689 4.689 3.519 Å, 90.00 90.00 90.00°
Space group P4/mmm (No. 123)
One atom of each set of equivalent atoms:
Al 0.000 0.000 0.000
Co 0.000 0.500 0.500
Cu 0.500 0.500 0.500
O 0.500 0.500 0.000

Results
* magnetic moment: 4.3 μB/f.u.
* VASP energy: -4.04 eV/atom


3.
Here is a relaxed Sr2AlCoCu2O7 crystal from Alexandria. Energies are from GGA+U.

Cell: 23.584 5.386 5.318 Å, 90.00 103.03 90.00°
Space group Cc (No. 9)
One atom of each set of equivalent atoms:
Sr 0.000 0.238 0.000
Sr 0.199 0.238 0.198
Al 0.349 0.251 0.357
Co 0.099 0.314 0.565
Cu 0.290 0.251 0.798
Cu 0.409 0.249 0.917
O 0.023 0.224 0.541
O 0.099 0.353 0.202
O 0.176 0.224 0.694
O 0.294 0.426 0.126
O 0.295 0.072 0.480
O 0.404 0.074 0.237
O 0.404 0.428 0.590

Results
* magnetic moment: 4.8 μB/f.u.
* VASP energy: -6.02 eV/atom